Entry 1:
This record from Alexandria via LeMat-Bulk describes crystalline NbFeO4 at its relaxed geometry. The functional is PBE with a Hubbard U.

abc: 6.210 6.210 4.934
angles: 110.81 110.81 115.61
Fractional positions:
Nb1 0.131 0.869 0.750
Nb2 0.869 0.131 0.250
Fe1 0.405 0.595 0.250
Fe2 0.595 0.405 0.750
O1 0.103 0.515 0.331
O2 0.195 0.274 0.734
O3 0.274 0.195 0.234
O4 0.485 0.897 0.169
O5 0.515 0.103 0.831
O6 0.726 0.805 0.766
O7 0.805 0.726 0.266
O8 0.897 0.485 0.669

Entry 2:
This record from Alexandria via LeMat-Bulk describes crystalline NbFe3O at its relaxed geometry. The functional is PBE with a Hubbard U.

Output
As for the polymorph energy (0 for the lowest one): 2.1210 eV/atom.

abc: 4.880 4.880 4.880
angles: 90.00 90.00 90.00
Fractional positions:
Nb1 0.000 0.000 0.000
Fe1 0.000 0.000 0.500
Fe2 0.000 0.500 0.000
Fe3 0.500 0.000 0.000
O1 0.500 0.500 0.500

Entry 3:
This record from Alexandria via LeMat-Bulk describes crystalline NbFeO4 at its relaxed geometry. The functional is PBE with a Hubbard U.

abc: 3.923 3.923 10.087
angles: 90.00 90.00 90.00
Fractional positions:
Nb1 0.000 0.000 0.000
Nb2 0.500 0.500 0.500
Fe1 0.000 0.500 0.250
Fe2 0.500 0.000 0.750
O1 0.000 0.000 0.200
O2 0.000 0.000 0.800
O3 0.000 0.500 0.040
O4 0.000 0.500 0.460
O5 0.500 0.000 0.540
O6 0.500 0.000 0.960
O7 0.500 0.500 0.300
O8 0.500 0.500 0.700

Entry 4:
This record from Alexandria via LeMat-Bulk describes crystalline NbFeO4 at its relaxed geometry. The functional is PBE with a Hubbard U.

abc: 6.216 6.216 8.506
angles: 90.00 90.00 90.00
Fractional positions:
Nb1 0.000 0.294 0.000
Nb2 0.000 0.706 0.500
Nb3 0.294 0.000 0.250
Nb4 0.706 0.000 0.750
Fe1 0.234 0.234 0.625
Fe2 0.234 0.766 0.875
Fe3 0.766 0.234 0.375
Fe4 0.766 0.766 0.125
O1 0.007 0.221 0.232
O2 0.007 0.779 0.268
O3 0.221 0.007 0.018
O4 0.221 0.494 0.973
O5 0.221 0.506 0.527
O6 0.221 0.993 0.482
O7 0.494 0.221 0.277
O8 0.494 0.779 0.223
O9 0.506 0.221 0.723
O10 0.506 0.779 0.777
O11 0.779 0.007 0.982
O12 0.779 0.494 0.027
O13 0.779 0.506 0.473
O14 0.779 0.993 0.518
O15 0.993 0.221 0.768
O16 0.993 0.779 0.732

Entry 5:
This record from Alexandria via LeMat-Bulk describes crystalline NbFeO4 at its relaxed geometry. The functional is PBE with a Hubbard U.

abc: 5.051 4.740 5.722
angles: 90.00 90.00 90.00
Fractional positions:
Nb1 0.000 0.000 0.000
Nb2 0.000 0.500 0.500
Fe1 0.500 0.000 0.644
Fe2 0.500 0.500 0.144
O1 0.170 0.228 0.695
O2 0.170 0.272 0.195
O3 0.319 0.724 0.420
O4 0.319 0.776 0.920
O5 0.681 0.224 0.920
O6 0.681 0.276 0.420
O7 0.830 0.728 0.195
O8 0.830 0.772 0.695

Entry 6:
This record from Alexandria via LeMat-Bulk describes crystalline NbFeO4 at its relaxed geometry. The functional is PBE with a Hubbard U.

abc: 6.647 6.647 6.774
angles: 106.73 106.73 34.10
Fractional positions:
Nb1 0.103 0.103 0.230
Nb2 0.897 0.897 0.770
Fe1 0.199 0.199 0.813
Fe2 0.801 0.801 0.187
O1 0.054 0.054 0.864
O2 0.137 0.137 0.512
O3 0.256 0.256 0.145
O4 0.364 0.364 0.797
O5 0.636 0.636 0.203
O6 0.744 0.744 0.855
O7 0.863 0.863 0.488
O8 0.946 0.946 0.136

Entry 7:
This record from Alexandria via LeMat-Bulk describes crystalline Nb2FeO at its relaxed geometry. The functional is PBE with a Hubbard U.

abc: 4.972 4.972 10.456
angles: 90.00 90.00 90.00
Fractional positions:
Nb1 0.202 0.250 0.125
Nb2 0.250 0.702 0.375
Nb3 0.250 0.798 0.875
Nb4 0.298 0.250 0.625
Nb5 0.702 0.750 0.625
Nb6 0.750 0.202 0.875
Nb7 0.750 0.298 0.375
Nb8 0.798 0.750 0.125
Fe1 0.000 0.000 0.500
Fe2 0.000 0.500 0.750
Fe3 0.500 0.000 0.250
Fe4 0.500 0.500 0.000
O1 0.000 0.000 0.000
O2 0.000 0.500 0.250
O3 0.500 0.000 0.750
O4 0.500 0.500 0.500

Entry 8:
This record from Alexandria via LeMat-Bulk describes crystalline Nb3FeO at its relaxed geometry. The functional is PBE with a Hubbard U.

Output
As for the polymorph energy (0 for the lowest one): 2.0207 eV/atom.

abc: 4.533 4.533 4.533
angles: 90.00 90.00 90.00
Fractional positions:
Nb1 0.000 0.000 0.500
Nb2 0.000 0.500 0.000
Nb3 0.500 0.000 0.000
Fe1 0.000 0.000 0.000
O1 0.500 0.500 0.500

Entry 9:
This record from Alexandria via LeMat-Bulk describes crystalline NbFeO4 at its relaxed geometry. The functional is PBE with a Hubbard U.

abc: 4.583 5.599 5.026
angles: 90.00 91.63 90.00
Fractional positions:
Nb1 0.000 0.180 0.250
Nb2 0.000 0.820 0.750
Fe1 0.500 0.356 0.750
Fe2 0.500 0.644 0.250
O1 0.231 0.117 0.584
O2 0.231 0.883 0.084
O3 0.276 0.387 0.076
O4 0.276 0.613 0.576
O5 0.724 0.387 0.424
O6 0.724 0.613 0.924
O7 0.769 0.117 0.916
O8 0.769 0.883 0.416

Entry 10:
This record from Alexandria via LeMat-Bulk describes crystalline Nb2FeO6 at its relaxed geometry. The functional is PBE with a Hubbard U.

Output
As for the polymorph energy (0 for the lowest one): 0.0000 eV/atom.

abc: 5.346 5.346 6.807
angles: 112.83 112.83 41.78
Fractional positions:
Nb1 0.184 0.184 0.147
Nb2 0.816 0.816 0.853
Fe1 0.000 0.000 0.500
O1 0.018 0.018 0.211
O2 0.305 0.305 0.934
O3 0.347 0.347 0.403
O4 0.653 0.653 0.597
O5 0.695 0.695 0.066
O6 0.982 0.982 0.789

Entry 11:
This record from Alexandria via LeMat-Bulk describes crystalline NbFeO4 at its relaxed geometry. The functional is PBE with a Hubbard U.

abc: 5.083 5.686 9.446
angles: 89.27 89.77 89.47
Fractional positions:
Nb1 0.000 0.000 0.000
Nb2 0.001 0.504 0.246
Nb3 0.498 0.837 0.747
Nb4 0.499 0.345 0.504
Fe1 0.019 0.000 0.494
Fe2 0.022 0.498 0.756
Fe3 0.522 0.850 0.257
Fe4 0.523 0.336 0.998
O1 0.192 0.282 0.616
O2 0.192 0.310 0.111
O3 0.192 0.780 0.636
O4 0.192 0.810 0.136
O5 0.340 0.052 0.882
O6 0.351 0.563 0.366
O7 0.360 0.065 0.391
O8 0.360 0.553 0.861
O9 0.688 0.075 0.114
O10 0.690 0.040 0.616
O11 0.692 0.541 0.635
O12 0.696 0.574 0.138
O13 0.850 0.287 0.385
O14 0.850 0.287 0.891
O15 0.850 0.785 0.867
O16 0.861 0.787 0.360

Entry 12:
This record from Alexandria via LeMat-Bulk describes crystalline Nb2FeO6 at its relaxed geometry. The functional is PBE with a Hubbard U.

Output
As for the polymorph energy (0 for the lowest one): 0.0039 eV/atom.

abc: 5.821 5.339 15.947
angles: 90.00 110.18 90.00
Fractional positions:
Nb1 0.006 0.042 0.336
Nb2 0.006 0.458 0.836
Nb3 0.340 0.044 0.166
Nb4 0.340 0.456 0.666
Nb5 0.660 0.544 0.334
Nb6 0.660 0.956 0.834
Nb7 0.994 0.542 0.164
Nb8 0.994 0.958 0.664
Fe1 0.345 0.741 0.000
Fe2 0.345 0.759 0.500
Fe3 0.655 0.241 0.500
Fe4 0.655 0.259 0.000
O1 0.018 0.228 0.103
O2 0.018 0.272 0.603
O3 0.096 0.631 0.740
O4 0.096 0.869 0.240
O5 0.199 0.728 0.101
O6 0.199 0.772 0.601
O7 0.308 0.105 0.418
O8 0.308 0.395 0.918
O9 0.386 0.131 0.740
O10 0.386 0.369 0.240
O11 0.484 0.105 0.082
O12 0.484 0.395 0.582
O13 0.516 0.605 0.418
O14 0.516 0.895 0.918
O15 0.614 0.631 0.760
O16 0.614 0.869 0.260
O17 0.692 0.605 0.082
O18 0.692 0.895 0.582
O19 0.801 0.228 0.399
O20 0.801 0.272 0.899
O21 0.904 0.131 0.760
O22 0.904 0.369 0.260
O23 0.982 0.728 0.397
O24 0.982 0.772 0.897

Record-wise magnetization values, in μB per cell: 10.00 9.90 10.00 19.91 9.99 10.00 0.02 0.00 2.04 4.00 17.94 16.00
Record-wise E values, in eV/f.u.: -47.8 -20.1 -48.0 -47.6 -48.1 -48.3 -29.3 -32.5 -46.3 -76.3 -47.8 -76.2